(1)
# GGA-PBE SiP3Ir, optimized geometry
# Relative energy among the computed polymorphs in kJ/mol of formula units: 0
# N(E_F) in states/eV/f.u.: 6.07
# Total energy in eV/atom: -5.1443
# Raw formation energy in eV/atom: 0.9584
data_SiP3Ir
_symmetry_space_group_name_H-M 'P 1'
_symmetry_Int_Tables_number 1
_symmetry_space_group_name_Hall 'P 1'
_cell_length_a 4.626
_cell_length_b 4.626
_cell_length_c 4.626
_cell_angle_alpha 90.00
_cell_angle_beta 90.00
_cell_angle_gamma 90.00
loop_
_atom_site_label
_atom_site_fract_x
_atom_site_fract_y
_atom_site_fract_z
P1 0.000 0.500 0.000
P2 0.000 0.000 0.500
P3 0.500 0.000 0.000
Si1 0.500 0.500 0.500
Ir1 0.000 0.000 0.000

(2)
# GGA-PBE SiP2Ir, optimized geometry
# Relative energy among the computed polymorphs in kJ/mol of formula units: 58
# N(E_F) in states/eV/f.u.: 1.22
# Total energy in eV/atom: -6.3686
# Raw formation energy in eV/atom: -0.0927
data_SiP2Ir
_symmetry_space_group_name_H-M 'P 1'
_symmetry_Int_Tables_number 1
_symmetry_space_group_name_Hall 'P 1'
_cell_length_a 3.846
_cell_length_b 4.355
_cell_length_c 4.249
_cell_angle_alpha 66.02
_cell_angle_beta 90.00
_cell_angle_gamma 90.00
loop_
_atom_site_label
_atom_site_fract_x
_atom_site_fract_y
_atom_site_fract_z
Ir1 0.500 0.750 0.750
P1 0.000 0.934 0.965
P2 0.000 0.566 0.535
Si1 0.500 0.250 0.250

(3)
# GGA-PBE SiPIr, optimized geometry
# N(E_F) in states/eV/f.u.: 0.74
# Total energy in eV/atom: -6.8614
# Raw formation energy in eV/atom: -0.2968
data_SiPIr
_symmetry_space_group_name_H-M 'P 1'
_symmetry_Int_Tables_number 1
_symmetry_space_group_name_Hall 'P 1'
_cell_length_a 3.568
_cell_length_b 5.013
_cell_length_c 11.281
_cell_angle_alpha 90.02
_cell_angle_beta 90.00
_cell_angle_gamma 90.00
loop_
_atom_site_label
_atom_site_fract_x
_atom_site_fract_y
_atom_site_fract_z
P1 0.250 0.079 0.850
P2 0.750 0.422 0.350
P3 0.750 0.921 0.150
P4 0.250 0.578 0.650
Si1 0.250 0.112 0.644
Si2 0.750 0.387 0.144
Si3 0.750 0.888 0.356
Si4 0.250 0.613 0.856
Ir1 0.250 0.161 0.430
Ir2 0.750 0.340 0.929
Ir3 0.750 0.839 0.570
Ir4 0.250 0.660 0.071

(4)
# GGA-PBE SiPIr, optimized geometry
# N(E_F) in states/eV/f.u.: 1.43
# Total energy in eV/atom: -6.8235
# Raw formation energy in eV/atom: -0.2589
data_SiPIr
_symmetry_space_group_name_H-M 'P 1'
_symmetry_Int_Tables_number 1
_symmetry_space_group_name_Hall 'P 1'
_cell_length_a 5.148
_cell_length_b 3.588
_cell_length_c 6.259
_cell_angle_alpha 90.00
_cell_angle_beta 114.32
_cell_angle_gamma 90.00
loop_
_atom_site_label
_atom_site_fract_x
_atom_site_fract_y
_atom_site_fract_z
P1 0.561 0.000 0.747
P2 0.561 0.500 0.247
Si1 0.079 0.000 0.588
Si2 0.079 0.500 0.088
Ir1 0.800 0.000 0.161
Ir2 0.800 0.500 0.661

(5)
# GGA-PBE SiP2Ir, optimized geometry
# Relative energy among the computed polymorphs in kJ/mol of formula units: 282
# N(E_F) in states/eV/f.u.: 1.28
# Total energy in eV/atom: -5.7891
# Raw formation energy in eV/atom: 0.4868
data_SiP2Ir
_symmetry_space_group_name_H-M 'P 1'
_symmetry_Int_Tables_number 1
_symmetry_space_group_name_Hall 'P 1'
_cell_length_a 4.391
_cell_length_b 3.639
_cell_length_c 3.639
_cell_angle_alpha 90.00
_cell_angle_beta 90.00
_cell_angle_gamma 90.00
loop_
_atom_site_label
_atom_site_fract_x
_atom_site_fract_y
_atom_site_fract_z
Ir1 0.500 0.000 0.500
P1 0.000 0.000 0.000
P2 0.000 0.500 0.500
Si1 0.500 0.500 0.000

(6)
# GGA-PBE SiP2Ir, optimized geometry
# Relative energy among the computed polymorphs in kJ/mol of formula units: 102
# N(E_F) in states/eV/f.u.: 2.28
# Total energy in eV/atom: -6.2543
# Raw formation energy in eV/atom: 0.0216
data_SiP2Ir
_symmetry_space_group_name_H-M 'P 1'
_symmetry_Int_Tables_number 1
_symmetry_space_group_name_Hall 'P 1'
_cell_length_a 3.607
_cell_length_b 3.607
_cell_length_c 5.883
_cell_angle_alpha 72.56
_cell_angle_beta 72.56
_cell_angle_gamma 57.48
loop_
_atom_site_label
_atom_site_fract_x
_atom_site_fract_y
_atom_site_fract_z
Ir1 0.750 0.750 0.750
P1 0.999 0.999 0.988
P2 0.501 0.501 0.512
Si1 0.250 0.250 0.250

(7)
# GGA-PBE SiPIr, optimized geometry
# N(E_F) in states/eV/f.u.: 2.41
# Total energy in eV/atom: -6.5404
# Raw formation energy in eV/atom: 0.0242
data_SiPIr
_symmetry_space_group_name_H-M 'P 1'
_symmetry_Int_Tables_number 1
_symmetry_space_group_name_Hall 'P 1'
_cell_length_a 5.792
_cell_length_b 5.792
_cell_length_c 5.792
_cell_angle_alpha 90.00
_cell_angle_beta 90.00
_cell_angle_gamma 90.00
loop_
_atom_site_label
_atom_site_fract_x
_atom_site_fract_y
_atom_site_fract_z
P1 0.190 0.190 0.190
P2 0.310 0.810 0.690
P3 0.810 0.690 0.310
P4 0.690 0.310 0.810
Si1 0.944 0.944 0.944
Si2 0.556 0.056 0.444
Si3 0.056 0.444 0.556
Si4 0.444 0.556 0.056
Ir1 0.705 0.705 0.705
Ir2 0.795 0.295 0.205
Ir3 0.295 0.205 0.795
Ir4 0.205 0.795 0.295

(8)
# GGA-PBE SiPIr, optimized geometry
# N(E_F) in states/eV/f.u.: 1.08
# Total energy in eV/atom: -6.7377
# Raw formation energy in eV/atom: -0.1731
data_SiPIr
_symmetry_space_group_name_H-M 'P 1'
_symmetry_Int_Tables_number 1
_symmetry_space_group_name_Hall 'P 1'
_cell_length_a 3.418
_cell_length_b 2.864
_cell_length_c 4.695
_cell_angle_alpha 90.00
_cell_angle_beta 90.00
_cell_angle_gamma 90.00
loop_
_atom_site_label
_atom_site_fract_x
_atom_site_fract_y
_atom_site_fract_z
P1 0.000 0.000 0.728
Si1 0.500 0.000 0.065
Ir1 0.000 0.500 0.323

Q: Which value of raw formation energy does entry 1 give?
A: 0.9584 eV/atom

Q: What is the formula in the first record?
A: SiP3Ir

Q: raw formation energy of number 3 (SiPIr)?
A: -0.2968 eV/atom

Q: What is the formula in the first record?
A: SiP3Ir